Entry from Alexandria via LeMat-Bulk: a relaxed structure of La4V5Si4O22 (PBE with a Hubbard U).

## Properties
* raw total energy: -285.6 eV for the cell shown
* space group: C2/m (12)
* mass density: 4.9 g cm⁻³

abc: 7.392 7.392 11.228
angles: 99.69 99.69 45.63
Sites, in units of the cell vectors:
1 La 0.073 0.073 0.248
2 La 0.356 0.356 0.243
3 La 0.644 0.644 0.757
4 La 0.927 0.927 0.752
5 V 0.000 0.000 0.500
6 V 0.000 0.500 0.500
7 V 0.500 0.000 0.500
8 V 0.500 0.500 0.000
9 V 0.500 0.500 0.500
10 Si 0.138 0.138 0.957
11 Si 0.296 0.296 0.771
12 Si 0.704 0.704 0.229
13 Si 0.862 0.862 0.043
14 O 0.038 0.511 0.688
15 O 0.143 0.143 0.478
16 O 0.165 0.695 0.086
17 O 0.188 0.188 0.098
18 O 0.219 0.219 0.865
19 O 0.219 0.737 0.370
20 O 0.263 0.781 0.630
21 O 0.305 0.835 0.914
22 O 0.349 0.349 0.482
23 O 0.411 0.411 0.839
24 O 0.489 0.962 0.312
25 O 0.511 0.038 0.688
26 O 0.589 0.589 0.161
27 O 0.651 0.651 0.518
28 O 0.695 0.165 0.086
29 O 0.737 0.219 0.370
30 O 0.781 0.263 0.630
31 O 0.781 0.781 0.135
32 O 0.812 0.812 0.902
33 O 0.835 0.305 0.914
34 O 0.857 0.857 0.522
35 O 0.962 0.489 0.312